A geometry-optimized YSiTc2Pt structure, computed with PBE-GGA.

Summary:
magnetization: 0.000 μB/f.u.
SG: No. 123
energy relative to the lowest polymorph listed for this composition: 0.000 eV/atom
E: -7.234 eV/atom
uncorrected formation energy: 0.498 eV/atom

The structure in POSCAR format:
```
YSiTc2Pt
1.0
4.409 0.000 0.000
0.000 4.409 0.000
0.000 0.000 5.087
Y Si Tc Pt
1 1 2 1
Direct
0.000 0.000 0.000 Y
0.000 0.000 0.500 Si
0.000 0.500 0.500 Tc
0.500 0.000 0.500 Tc
0.500 0.500 0.000 Pt
```

A geometry-optimized YSiTc2Pt structure, computed with PBE-GGA.

Summary:
magnetization: 4.181 μB/f.u.
SG: No. 123
energy relative to the lowest polymorph listed for this composition: 1.589 eV/atom
E: -5.646 eV/atom
uncorrected formation energy: 2.086 eV/atom

The structure in POSCAR format:
```
YSiTc2Pt
1.0
4.911 0.000 0.000
0.000 4.911 0.000
0.000 0.000 5.034
Y Si Tc Pt
1 1 2 1
Direct
0.000 0.000 0.000 Y
0.500 0.500 0.500 Si
0.000 0.500 0.000 Tc
0.500 0.000 0.000 Tc
0.000 0.000 0.500 Pt
```

A geometry-optimized SiTe2Pt structure, computed with PBE-GGA.

Summary:
magnetization: 0.000 μB/f.u.
SG: No. 47
energy relative to the lowest polymorph listed for this composition: 0.477 eV/atom
E: -4.086 eV/atom
uncorrected formation energy: 0.351 eV/atom

The structure in POSCAR format:
```
SiTe2Pt
1.0
3.304 0.000 0.000
0.000 4.999 0.000
0.000 0.000 5.093
Si Te Pt
1 2 1
Direct
0.000 0.000 0.000 Si
0.500 0.000 0.500 Te
0.500 0.500 0.000 Te
0.000 0.500 0.500 Pt
```

A geometry-optimized Si2TePt structure, computed with PBE-GGA.

Summary:
magnetization: 0.000 μB/f.u.
SG: No. 65
energy relative to the lowest polymorph listed for this composition: 0.498 eV/atom
E: -4.613 eV/atom
uncorrected formation energy: 0.394 eV/atom

The structure in POSCAR format:
```
Si2TePt
1.0
2.863 -3.713 0.000
2.863 3.713 0.000
0.000 0.000 3.477
Si Te Pt
2 1 1
Direct
0.000 0.500 0.000 Si
0.500 0.000 0.000 Si
0.000 0.000 0.500 Te
0.500 0.500 0.500 Pt
```

A geometry-optimized Si2TePt structure, computed with PBE-GGA.

Summary:
magnetization: 0.000 μB/f.u.
SG: No. 8
energy relative to the lowest polymorph listed for this composition: 0.067 eV/atom
E: -5.044 eV/atom
uncorrected formation energy: -0.037 eV/atom

The structure in POSCAR format:
```
Si2TePt
1.0
3.588 -1.860 0.000
3.588 1.860 0.000
-2.190 0.000 5.834
Si Te Pt
2 1 1
Direct
0.000 0.000 0.000 Si
0.234 0.234 0.809 Si
0.539 0.539 0.465 Te
0.749 0.749 0.186 Pt
```

A geometry-optimized SiTe2Pt structure, computed with PBE-GGA.

Summary:
magnetization: 0.000 μB/f.u.
SG: No. 123
energy relative to the lowest polymorph listed for this composition: 0.542 eV/atom
E: -4.022 eV/atom
uncorrected formation energy: 0.415 eV/atom

The structure in POSCAR format:
```
SiTe2Pt
1.0
3.442 0.000 0.000
0.000 3.442 0.000
0.000 0.000 7.193
Si Te Pt
1 2 1
Direct
0.000 0.000 0.000 Si
0.500 0.500 0.260 Te
0.500 0.500 0.740 Te
0.000 0.000 0.500 Pt
```

A geometry-optimized Si2TePt structure, computed with PBE-GGA.

Summary:
magnetization: 0.000 μB/f.u.
SG: No. 38
energy relative to the lowest polymorph listed for this composition: 0.049 eV/atom
E: -5.062 eV/atom
uncorrected formation energy: -0.055 eV/atom

The structure in POSCAR format:
```
Si2TePt
1.0
4.126 0.000 0.000
0.000 2.652 3.530
0.000 -2.652 3.530
Si Te Pt
2 1 1
Direct
0.000 0.000 0.000 Si
0.500 0.206 0.206 Si
0.000 0.562 0.562 Te
0.500 0.804 0.804 Pt
```

A geometry-optimized SiTe2Pt structure, computed with PBE-GGA.

Summary:
magnetization: 0.000 μB/f.u.
SG: No. 44
energy relative to the lowest polymorph listed for this composition: 0.259 eV/atom
E: -4.304 eV/atom
uncorrected formation energy: 0.132 eV/atom

The structure in POSCAR format:
```
SiTe2Pt
1.0
-1.721 2.361 5.723
1.721 -2.361 5.723
1.721 2.361 -5.723
Si Te Pt
1 2 1
Direct
0.000 0.000 0.000 Si
0.335 0.835 0.500 Te
0.636 0.636 0.000 Te
0.846 0.346 0.500 Pt
```

A geometry-optimized SiTe4Pt structure, computed with PBE-GGA.

Summary:
magnetization: 0.000 μB/f.u.
SG: No. 12
energy relative to the lowest polymorph listed for this composition: 0.000 eV/atom
E: -4.204 eV/atom
uncorrected formation energy: -0.199 eV/atom

The structure in POSCAR format:
```
SiTe4Pt
1.0
7.072 -1.977 0.000
7.072 1.977 0.000
-3.158 0.000 5.970
Si Te Pt
1 4 1
Direct
0.000 0.000 0.000 Si
0.117 0.117 0.782 Te
0.376 0.376 0.710 Te
0.624 0.624 0.290 Te
0.883 0.883 0.218 Te
0.500 0.500 0.500 Pt
```

A geometry-optimized SiTePt3 structure, computed with PBE-GGA.

Summary:
magnetization: 0.000 μB/f.u.
SG: No. 221
energy relative to the lowest polymorph listed for this composition: 0.785 eV/atom
E: -4.378 eV/atom
uncorrected formation energy: 0.959 eV/atom

The structure in POSCAR format:
```
SiTePt3
1.0
4.951 0.000 0.000
0.000 4.951 0.000
0.000 0.000 4.951
Si Te Pt
1 1 3
Direct
0.000 0.000 0.000 Si
0.500 0.500 0.500 Te
0.000 0.500 0.500 Pt
0.500 0.000 0.500 Pt
0.500 0.500 0.000 Pt
```

A geometry-optimized SiTe2Pt structure, computed with PBE-GGA.

Summary:
magnetization: 0.000 μB/f.u.
SG: No. 216
energy relative to the lowest polymorph listed for this composition: 0.637 eV/atom
E: -3.927 eV/atom
uncorrected formation energy: 0.510 eV/atom

The structure in POSCAR format:
```
SiTe2Pt
1.0
0.000 3.499 3.499
3.499 0.000 3.499
3.499 3.499 0.000
Si Te Pt
1 2 1
Direct
0.000 0.000 0.000 Si
0.500 0.500 0.500 Te
0.750 0.750 0.750 Te
0.250 0.250 0.250 Pt
```

A geometry-optimized SiTe4Pt structure, computed with PBE-GGA.

Summary:
magnetization: 0.000 μB/f.u.
SG: No. 216
energy relative to the lowest polymorph listed for this composition: 1.233 eV/atom
E: -2.971 eV/atom
uncorrected formation energy: 1.034 eV/atom

The structure in POSCAR format:
```
SiTe4Pt
1.0
0.000 4.354 4.354
4.354 0.000 4.354
4.354 4.354 0.000
Si Te Pt
1 4 1
Direct
0.000 0.000 0.000 Si
0.129 0.624 0.624 Te
0.624 0.129 0.624 Te
0.624 0.624 0.129 Te
0.624 0.624 0.624 Te
0.250 0.250 0.250 Pt
```

A geometry-optimized Si2TePt2 structure, computed with PBE-GGA.

Summary:
magnetization: 0.000 μB/f.u.
SG: No. 139
E: -5.530 eV/atom
uncorrected formation energy: -0.317 eV/atom

The structure in POSCAR format:
```
Si2TePt2
1.0
-1.977 1.977 5.794
1.977 -1.977 5.794
1.977 1.977 -5.794
Si Te Pt
2 1 2
Direct
0.250 0.750 0.500 Si
0.750 0.250 0.500 Si
0.000 0.000 0.000 Te
0.372 0.372 0.000 Pt
0.628 0.628 0.000 Pt
```

A geometry-optimized Si2TePt structure, computed with PBE-GGA.

Summary:
magnetization: 0.000 μB/f.u.
SG: No. 10
energy relative to the lowest polymorph listed for this composition: 0.106 eV/atom
E: -5.005 eV/atom
uncorrected formation energy: 0.002 eV/atom

The structure in POSCAR format:
```
Si2TePt
1.0
4.198 0.000 0.000
0.000 4.344 0.000
-0.843 0.000 4.147
Si Te Pt
2 1 1
Direct
0.207 0.000 0.303 Si
0.793 0.000 0.697 Si
0.500 0.500 0.000 Te
0.000 0.500 0.500 Pt
```

A geometry-optimized Si2TePt structure, computed with PBE-GGA.

Summary:
magnetization: 0.000 μB/f.u.
SG: No. 225
energy relative to the lowest polymorph listed for this composition: 0.557 eV/atom
E: -4.554 eV/atom
uncorrected formation energy: 0.453 eV/atom

The structure in POSCAR format:
```
Si2TePt
1.0
0.000 3.316 3.316
3.316 0.000 3.316
3.316 3.316 0.000
Si Te Pt
2 1 1
Direct
0.250 0.250 0.250 Si
0.750 0.750 0.750 Si
0.000 0.000 0.000 Te
0.500 0.500 0.500 Pt
```

A geometry-optimized SiTe2Pt structure, computed with PBE-GGA.

Summary:
magnetization: 0.000 μB/f.u.
SG: No. 12
energy relative to the lowest polymorph listed for this composition: 0.101 eV/atom
E: -4.462 eV/atom
uncorrected formation energy: -0.026 eV/atom

The structure in POSCAR format:
```
SiTe2Pt
1.0
3.479 -2.001 0.000
3.479 2.001 0.000
-2.283 0.000 6.431
Si Te Pt
1 2 1
Direct
0.000 0.000 0.000 Si
0.247 0.247 0.741 Te
0.753 0.753 0.259 Te
0.500 0.500 0.500 Pt
```

A geometry-optimized SiTePt3 structure, computed with PBE-GGA.

Summary:
magnetization: 0.000 μB/f.u.
SG: No. 221
energy relative to the lowest polymorph listed for this composition: 0.000 eV/atom
E: -5.163 eV/atom
uncorrected formation energy: 0.174 eV/atom

The structure in POSCAR format:
```
SiTePt3
1.0
4.609 0.000 0.000
0.000 4.609 0.000
0.000 0.000 4.609
Si Te Pt
1 1 3
Direct
0.000 0.000 0.000 Si
0.500 0.500 0.500 Te
0.000 0.000 0.500 Pt
0.000 0.500 0.000 Pt
0.500 0.000 0.000 Pt
```

A geometry-optimized SiTe2Pt structure, computed with PBE-GGA.

Summary:
magnetization: 0.000 μB/f.u.
SG: No. 166
energy relative to the lowest polymorph listed for this composition: 0.399 eV/atom
E: -4.165 eV/atom
uncorrected formation energy: 0.272 eV/atom

The structure in POSCAR format:
```
SiTe2Pt
1.0
1.970 1.138 8.543
-1.970 1.138 8.543
0.000 -2.275 8.543
Si Te Pt
1 2 1
Direct
0.000 0.000 0.000 Si
0.110 0.110 0.110 Te
0.890 0.890 0.890 Te
0.500 0.500 0.500 Pt
```

A geometry-optimized SiTe2Pt structure, computed with PBE-GGA.

Summary:
magnetization: 0.000 μB/f.u.
SG: No. 65
energy relative to the lowest polymorph listed for this composition: 0.508 eV/atom
E: -4.055 eV/atom
uncorrected formation energy: 0.381 eV/atom

The structure in POSCAR format:
```
SiTe2Pt
1.0
1.983 -3.143 0.000
1.983 3.143 0.000
0.000 0.000 7.630
Si Te Pt
1 2 1
Direct
0.000 0.000 0.000 Si
0.500 0.500 0.261 Te
0.500 0.500 0.739 Te
0.000 0.000 0.500 Pt
```

A geometry-optimized Si2TePt structure, computed with PBE-GGA.

Summary:
magnetization: 0.000 μB/f.u.
SG: No. 119
energy relative to the lowest polymorph listed for this composition: 0.546 eV/atom
E: -4.565 eV/atom
uncorrected formation energy: 0.442 eV/atom

The structure in POSCAR format:
```
Si2TePt
1.0
-2.216 2.216 3.732
2.216 -2.216 3.732
2.216 2.216 -3.732
Si Te Pt
2 1 1
Direct
0.000 0.000 0.000 Si
0.750 0.250 0.500 Si
0.250 0.750 0.500 Te
0.500 0.500 0.000 Pt
```